Record 1
The following is a PBE calculation of an optimized crystal structure of Sc2VGa2, from Alexandria via LeMat-Bulk.

a = 7.060 Å, b = 7.060 Å, c = 3.786 Å
α = 90.00°, β = 90.00°, γ = 90.00°
Atoms (fractional coordinates):
Sc1 0.175 0.675 0.500
Sc2 0.675 0.825 0.500
Ga1 0.629 0.129 0.000
Ga2 0.871 0.629 0.000
Ga3 0.129 0.371 0.000
Sc3 0.825 0.325 0.500
V1 0.500 0.500 0.000
Ga4 0.371 0.871 0.000
Sc4 0.325 0.175 0.500
V2 0.000 0.000 0.000

Summary:
Space group = P4/mbm (127)
Volume = 188.7 Å³ per cell
Formation energy = -352 meV/atom
Fermi-level density of states = 8.724 states/eV/cell
Electronic total energy = -5.919 eV per atom



Record 2
The following is a PBE calculation of an optimized crystal structure of ScVGa2, from Alexandria via LeMat-Bulk.

a = 3.892 Å, b = 7.043 Å, c = 9.917 Å
α = 90.00°, β = 90.00°, γ = 90.00°
Atoms (fractional coordinates):
Sc1 0.250 0.788 0.186
Sc2 0.750 0.212 0.814
Sc3 0.250 0.288 0.314
Ga1 0.250 0.208 0.025
V1 0.750 0.954 0.421
V2 0.750 0.454 0.079
Ga2 0.750 0.792 0.975
Ga3 0.250 0.708 0.475
V3 0.250 0.046 0.579
Sc4 0.750 0.712 0.686
Ga4 0.250 0.416 0.667
Ga5 0.750 0.292 0.525
Ga6 0.250 0.916 0.833
V4 0.250 0.546 0.921
Ga7 0.750 0.584 0.333
Ga8 0.750 0.084 0.167

Summary:
Space group = Pnma (62)
Volume = 271.9 Å³ per cell
Formation energy = -364 meV/atom
Offset from the most stable computed form = 0 meV per atom
Fermi-level density of states = 11.775 states/eV/cell
Electronic total energy = -5.740 eV per atom



Record 3
The following is a PBE calculation of an optimized crystal structure of Sc2VGa, from Alexandria via LeMat-Bulk.

a = 3.442 Å, b = 3.442 Å, c = 6.456 Å
α = 90.00°, β = 90.00°, γ = 90.00°
Atoms (fractional coordinates):
Sc1 0.000 0.000 0.754
Sc2 0.000 0.000 0.246
V1 0.500 0.500 0.000
Ga1 0.500 0.500 0.500

Summary:
Space group = P4/mmm (123)
Volume = 76.5 Å³ per cell
Formation energy = -192 meV/atom
Fermi-level density of states = 2.910 states/eV/cell
Electronic total energy = -6.394 eV per atom



Record 4
The following is a PBE calculation of an optimized crystal structure of Sc2VGa, from Alexandria via LeMat-Bulk.

a = 3.546 Å, b = 4.637 Å, c = 4.637 Å
α = 90.00°, β = 90.00°, γ = 90.00°
Atoms (fractional coordinates):
Ga1 0.500 0.000 0.000
Sc1 0.000 0.500 0.000
V1 0.500 0.500 0.500
Sc2 0.000 0.000 0.500

Summary:
Space group = P4/mmm (123)
Volume = 76.3 Å³ per cell
Formation energy = -196 meV/atom
Fermi-level density of states = 3.043 states/eV/cell
Electronic total energy = -6.399 eV per atom



Record 5
The following is a PBE calculation of an optimized crystal structure of Sc2VGa5, from Alexandria via LeMat-Bulk.

a = 5.628 Å, b = 5.628 Å, c = 5.628 Å
α = 102.85°, β = 112.88°, γ = 112.88°
Atoms (fractional coordinates):
V1 0.000 0.862 0.862
Ga1 0.426 0.736 0.736
Ga2 0.000 0.310 0.736
Sc1 0.500 0.769 0.269
Ga3 0.000 0.230 0.230
Ga4 0.574 0.310 0.310
Ga5 0.000 0.736 0.310
Sc2 0.500 0.269 0.769

Summary:
Space group = I4mm (107)
Volume = 135.9 Å³ per cell
Formation energy = -389 meV/atom
Fermi-level density of states = 3.405 states/eV/cell
Electronic total energy = -5.004 eV per atom



Record 6
The following is a PBE calculation of an optimized crystal structure of ScVGa2, from Alexandria via LeMat-Bulk.

a = 4.564 Å, b = 4.564 Å, c = 4.564 Å
α = 60.00°, β = 60.00°, γ = 60.00°
Atoms (fractional coordinates):
Sc1 0.500 0.500 0.500
V1 0.000 0.000 0.000
Ga1 0.250 0.250 0.250
Ga2 0.750 0.750 0.750

Summary:
Space group = Fm-3m (225)
Volume = 67.2 Å³ per cell
Formation energy = -290 meV/atom
Offset from the most stable computed form = 74 meV per atom
Fermi-level density of states = 3.856 states/eV/cell
Electronic total energy = -5.666 eV per atom



Record 7
The following is a PBE calculation of an optimized crystal structure of Sc2VGa, from Alexandria via LeMat-Bulk.

a = 7.498 Å, b = 7.498 Å, c = 5.996 Å
α = 51.30°, β = 51.30°, γ = 90.00°
Atoms (fractional coordinates):
Ga1 0.000 0.000 0.000
Sc1 0.626 0.125 0.250
V1 0.500 0.500 0.000
Sc2 0.124 0.625 0.250
V2 0.250 0.750 0.500
Sc3 0.375 0.374 0.750
Ga2 0.750 0.250 0.500
Sc4 0.875 0.876 0.750

Summary:
Space group = I-42d (122)
Volume = 157.4 Å³ per cell
Formation energy = 265 meV/atom
Fermi-level density of states = 7.525 states/eV/cell
Electronic total energy = -5.937 eV per atom



Record 8
The following is a PBE calculation of an optimized crystal structure of ScVGa3, from Alexandria via LeMat-Bulk.

a = 4.688 Å, b = 4.688 Å, c = 4.688 Å
α = 90.00°, β = 90.00°, γ = 90.00°
Atoms (fractional coordinates):
Sc1 0.500 0.500 0.500
Ga1 0.000 0.500 0.000
Ga2 0.500 0.000 0.000
Ga3 0.000 0.000 0.500
V1 0.000 0.000 0.000

Summary:
Space group = Pm-3m (221)
Volume = 103.0 Å³ per cell
Formation energy = 94 meV/atom
Offset from the most stable computed form = 339 meV per atom
Fermi-level density of states = 3.218 states/eV/cell
Electronic total energy = -4.812 eV per atom



Record 9
The following is a PBE calculation of an optimized crystal structure of ScVGa2, from Alexandria via LeMat-Bulk.

a = 4.032 Å, b = 4.037 Å, c = 4.037 Å
α = 90.00°, β = 90.00°, γ = 90.00°
Atoms (fractional coordinates):
V1 0.500 0.000 0.000
Sc1 0.500 0.500 0.500
Ga1 0.000 0.500 0.000
Ga2 0.000 0.000 0.500

Summary:
Space group = P4/mmm (123)
Volume = 65.7 Å³ per cell
Formation energy = -274 meV/atom
Offset from the most stable computed form = 90 meV per atom
Fermi-level density of states = 3.097 states/eV/cell
Electronic total energy = -5.650 eV per atom



Record 10
The following is a PBE calculation of an optimized crystal structure of ScV3Ga, from Alexandria via LeMat-Bulk.

a = 4.419 Å, b = 4.419 Å, c = 4.419 Å
α = 90.00°, β = 90.00°, γ = 90.00°
Atoms (fractional coordinates):
V1 0.000 0.000 0.500
V2 0.500 0.000 0.000
V3 0.000 0.500 0.000
Ga1 0.500 0.500 0.500
Sc1 0.000 0.000 0.000

Summary:
Space group = Pm-3m (221)
Volume = 86.3 Å³ per cell
Formation energy = 1531 meV/atom
Offset from the most stable computed form = 620 meV per atom
Fermi-level density of states = 8.539 states/eV/cell
Electronic total energy = -5.812 eV per atom



Record 11
The following is a PBE calculation of an optimized crystal structure of ScVGa3, from Alexandria via LeMat-Bulk.

a = 5.044 Å, b = 5.044 Å, c = 5.044 Å
α = 90.00°, β = 90.00°, γ = 90.00°
Atoms (fractional coordinates):
V1 0.500 0.500 0.500
Ga1 0.000 0.000 0.500
Sc1 0.000 0.000 0.000
Ga2 0.500 0.000 0.000
Ga3 0.000 0.500 0.000

Summary:
Space group = Pm-3m (221)
Volume = 128.3 Å³ per cell
Formation energy = 936 meV/atom
Offset from the most stable computed form = 1180 meV per atom
Fermi-level density of states = 7.747 states/eV/cell
Electronic total energy = -3.970 eV per atom



Record 12
The following is a PBE calculation of an optimized crystal structure of ScVGa3, from Alexandria via LeMat-Bulk.

a = 5.369 Å, b = 6.188 Å, c = 6.188 Å
α = 120.00°, β = 90.00°, γ = 90.00°
Atoms (fractional coordinates):
Ga1 0.250 0.805 0.610
Sc1 0.250 0.334 0.666
Ga2 0.750 0.195 0.805
Ga3 0.250 0.805 0.195
V1 0.000 0.000 0.000
Ga4 0.750 0.195 0.390
V2 0.500 0.000 0.000
Sc2 0.750 0.666 0.334
Ga5 0.250 0.390 0.195
Ga6 0.750 0.610 0.805

Summary:
Space group = P6_3/mmc (194)
Volume = 178.1 Å³ per cell
Formation energy = -244 meV/atom
Offset from the most stable computed form = 0 meV per atom
Fermi-level density of states = 5.663 states/eV/cell
Electronic total energy = -5.150 eV per atom



Record 13
The following is a PBE calculation of an optimized crystal structure of ScVGa2, from Alexandria via LeMat-Bulk.

a = 4.036 Å, b = 4.036 Å, c = 9.903 Å
α = 78.24°, β = 78.24°, γ = 90.00°
Atoms (fractional coordinates):
Sc1 0.250 0.750 0.500
Ga1 0.875 0.909 0.750
V1 0.750 0.250 0.500
Ga2 0.375 0.341 0.750
Ga3 0.659 0.125 0.250
Ga4 0.091 0.625 0.250
Sc2 0.500 0.500 0.000
V2 0.000 0.000 0.000

Summary:
Space group = I-42d (122)
Volume = 154.4 Å³ per cell
Formation energy = 222 meV/atom
Offset from the most stable computed form = 585 meV per atom
Fermi-level density of states = 7.589 states/eV/cell
Electronic total energy = -5.154 eV per atom